No. 1
# Ni3AsI

A relaxed structure of Ni3AsI (PBE, Alexandria).

Properties
uncorrected energy	-20.97	eV for the cell shown
relative energy among the computed polymorphs	0.000	eV/atom
raw formation energy	0.51	eV/atom

The structure in CIF format:
```
data_Ni3AsI
_symmetry_space_group_name_H-M 'P 1'
_symmetry_Int_Tables_number 1
_cell_length_a 4.503
_cell_length_b 4.503
_cell_length_c 4.503
_cell_angle_alpha 90.00
_cell_angle_beta 90.00
_cell_angle_gamma 90.00
loop_
_symmetry_equiv_pos_as_xyz
'x,y,z'
loop_
_atom_site_label
_atom_site_fract_x
_atom_site_fract_y
_atom_site_fract_z
Ni1 0.000 0.000 0.500
Ni2 0.000 0.500 0.000
Ni3 0.500 0.000 0.000
As1 0.000 0.000 0.000
I1 0.500 0.500 0.500
```

=====

No. 2
# Sm2CoAgC

A relaxed structure of Sm2CoAgC (PBE, Alexandria).

Properties
uncorrected energy	-30.09	eV for the cell shown

The structure in CIF format:
```
data_Sm2CoAgC
_symmetry_space_group_name_H-M 'P 1'
_symmetry_Int_Tables_number 1
_cell_length_a 5.180
_cell_length_b 5.180
_cell_length_c 3.652
_cell_angle_alpha 90.00
_cell_angle_beta 90.00
_cell_angle_gamma 90.00
loop_
_symmetry_equiv_pos_as_xyz
'x,y,z'
loop_
_atom_site_label
_atom_site_fract_x
_atom_site_fract_y
_atom_site_fract_z
Sm1 0.000 0.500 0.000
Sm2 0.500 0.000 0.000
Co1 0.000 0.000 0.500
Ag1 0.500 0.500 0.500
C1 0.000 0.000 0.000
```

=====

No. 3
# CuAgP

A relaxed structure of CuAgP (PBE, Alexandria).

Properties
uncorrected energy	-24.15	eV for the cell shown
relative energy among the computed polymorphs	0.000	eV/atom

The structure in CIF format:
```
data_CuAgP
_symmetry_space_group_name_H-M 'P 1'
_symmetry_Int_Tables_number 1
_cell_length_a 3.886
_cell_length_b 3.886
_cell_length_c 6.177
_cell_angle_alpha 90.00
_cell_angle_beta 90.00
_cell_angle_gamma 90.00
loop_
_symmetry_equiv_pos_as_xyz
'x,y,z'
loop_
_atom_site_label
_atom_site_fract_x
_atom_site_fract_y
_atom_site_fract_z
Cu1 0.250 0.750 0.000
Cu2 0.750 0.250 0.000
Ag1 0.250 0.250 0.355
Ag2 0.750 0.750 0.645
P1 0.250 0.250 0.767
P2 0.750 0.750 0.233
```

=====

No. 4
# TbTlPbAu

A relaxed structure of TbTlPbAu (PBE, Alexandria).

Properties
uncorrected energy	-15.12	eV for the cell shown

The structure in CIF format:
```
data_TbTlPbAu
_symmetry_space_group_name_H-M 'P 1'
_symmetry_Int_Tables_number 1
_cell_length_a 5.262
_cell_length_b 5.262
_cell_length_c 5.262
_cell_angle_alpha 60.00
_cell_angle_beta 60.00
_cell_angle_gamma 60.00
loop_
_symmetry_equiv_pos_as_xyz
'x,y,z'
loop_
_atom_site_label
_atom_site_fract_x
_atom_site_fract_y
_atom_site_fract_z
Tb1 0.000 0.000 0.000
Tl1 0.750 0.750 0.750
Pb1 0.500 0.500 0.500
Au1 0.250 0.250 0.250
```

=====

No. 5
# LaSc2Hg3

A relaxed structure of LaSc2Hg3 (PBE, Alexandria).

Properties
uncorrected energy	-21.13	eV for the cell shown

The structure in CIF format:
```
data_LaSc2Hg3
_symmetry_space_group_name_H-M 'P 1'
_symmetry_Int_Tables_number 1
_cell_length_a 3.563
_cell_length_b 3.563
_cell_length_c 11.430
_cell_angle_alpha 90.00
_cell_angle_beta 90.00
_cell_angle_gamma 90.00
loop_
_symmetry_equiv_pos_as_xyz
'x,y,z'
loop_
_atom_site_label
_atom_site_fract_x
_atom_site_fract_y
_atom_site_fract_z
La1 0.000 0.000 0.000
Sc1 0.000 0.000 0.348
Sc2 0.000 0.000 0.652
Hg1 0.500 0.500 0.200
Hg2 0.500 0.500 0.500
Hg3 0.500 0.500 0.800
```

=====

No. 6
# DyErCd17

A relaxed structure of DyErCd17 (PBE, Alexandria).

Properties
uncorrected energy	-26.49	eV for the cell shown

The structure in CIF format:
```
data_DyErCd17
_symmetry_space_group_name_H-M 'P 1'
_symmetry_Int_Tables_number 1
_cell_length_a 7.661
_cell_length_b 7.661
_cell_length_c 7.661
_cell_angle_alpha 81.82
_cell_angle_beta 81.82
_cell_angle_gamma 81.82
loop_
_symmetry_equiv_pos_as_xyz
'x,y,z'
loop_
_atom_site_label
_atom_site_fract_x
_atom_site_fract_y
_atom_site_fract_z
Dy1 0.000 0.000 0.000
Er1 0.351 0.351 0.351
Cd1 0.056 0.056 0.443
Cd2 0.056 0.443 0.056
Cd3 0.142 0.699 0.699
Cd4 0.332 0.332 0.788
Cd5 0.332 0.788 0.332
Cd6 0.366 0.670 0.981
Cd7 0.366 0.981 0.670
Cd8 0.443 0.056 0.056
Cd9 0.571 0.571 0.571
Cd10 0.670 0.366 0.981
Cd11 0.670 0.981 0.366
Cd12 0.699 0.142 0.699
Cd13 0.699 0.699 0.142
Cd14 0.763 0.763 0.763
Cd15 0.788 0.332 0.332
Cd16 0.981 0.366 0.670
Cd17 0.981 0.670 0.366
```